(1)
Density functional theory data (PBE) for an optimized crystal structure of LiLaGdSn.

Cell: 7.633 7.633 7.633 Å, 90.00 90.00 90.00°
Space group F-43m (No. 216)
Inequivalent atoms, fractional coordinates:
Li 0.000 0.000 0.000
La 0.250 0.250 0.750
Gd 0.250 0.250 0.250
Sn 0.000 0.000 0.500

mass density = 6.3 g/cm³
E_form = -167 kJ/mol of formula units
magnetization = 30.3 Bohr magnetons per cell

(2)
Density functional theory data (PBE) for an optimized crystal structure of LiLaTbGd.

Cell: 7.923 7.923 7.923 Å, 90.00 90.00 90.00°
Space group F-43m (No. 216)
Inequivalent atoms, fractional coordinates:
Li 0.000 0.000 0.000
La 0.250 0.250 0.250
Tb 0.000 0.000 0.500
Gd 0.250 0.250 0.750

mass density = 6.2 g/cm³
E_form = 64 kJ/mol of formula units
magnetization = 29.5 Bohr magnetons per cell

(3)
Density functional theory data (PBE) for an optimized crystal structure of LiLaGdTl.

Cell: 7.719 7.719 7.719 Å, 90.00 90.00 90.00°
Space group F-43m (No. 216)
Inequivalent atoms, fractional coordinates:
Li 0.000 0.000 0.000
La 0.250 0.250 0.250
Gd 0.250 0.250 0.750
Tl 0.000 0.000 0.500

mass density = 7.3 g/cm³
E_form = -82 kJ/mol of formula units
magnetization = 31.7 Bohr magnetons per cell

(4)
Density functional theory data (PBE) for an optimized crystal structure of LiLaGdTm.

Cell: 7.869 7.869 7.869 Å, 90.00 90.00 90.00°
Space group F-43m (No. 216)
Inequivalent atoms, fractional coordinates:
Li 0.000 0.000 0.000
La 0.250 0.250 0.750
Gd 0.250 0.250 0.250
Tm 0.000 0.000 0.500

mass density = 6.4 g/cm³
E_form = 57 kJ/mol of formula units
magnetization = 29.5 Bohr magnetons per cell

(5)
Density functional theory data (PBE) for an optimized crystal structure of LaGdLu2.

Cell: 3.635 3.635 9.692 Å, 90.00 90.00 90.00°
Space group P4/mmm (No. 123)
Inequivalent atoms, fractional coordinates:
La 0.000 0.000 0.000
Gd 0.000 0.000 0.500
Lu 0.500 0.500 0.255

mass density = 8.4 g/cm³
E_form = 16 kJ/mol of formula units
magnetization = 7.3 Bohr magnetons per cell

(6)
Density functional theory data (PBE) for an optimized crystal structure of LaGd2Lu.

Cell: 3.612 3.612 10.086 Å, 90.00 90.00 90.00°
Space group P4/mmm (No. 123)
Inequivalent atoms, fractional coordinates:
La 0.000 0.000 0.000
Gd 0.500 0.500 0.260
Lu 0.000 0.000 0.500

mass density = 7.9 g/cm³
E_form = 14 kJ/mol of formula units
magnetization = 15.1 Bohr magnetons per cell

(7)
Density functional theory data (PBE) for an optimized crystal structure of LaGdLu2.

Cell: 5.101 5.101 4.924 Å, 90.00 90.00 90.00°
Space group P4/mmm (No. 123)
Inequivalent atoms, fractional coordinates:
La 0.000 0.000 0.000
Gd 0.500 0.500 0.000
Lu 0.000 0.500 0.500

mass density = 8.4 g/cm³
E_form = 12 kJ/mol of formula units
magnetization = 7.5 Bohr magnetons per cell

(8)
Density functional theory data (PBE) for an optimized crystal structure of LaGd2Lu.

Cell: 8.089 8.089 8.089 Å, 90.00 90.00 90.00°
Space group Fm-3m (No. 225)
Inequivalent atoms, fractional coordinates:
La 0.000 0.000 0.000
Gd 0.250 0.250 0.250
Lu 0.000 0.000 0.500

mass density = 7.9 g/cm³
E_form = 41 kJ/mol of formula units
magnetization = 65.6 Bohr magnetons per cell

(9)
Density functional theory data (PBE) for an optimized crystal structure of LaGdLuPu.

Cell: 7.956 7.956 7.956 Å, 90.00 90.00 90.00°
Space group F-43m (No. 216)
Inequivalent atoms, fractional coordinates:
La 0.000 0.000 0.000
Gd 0.000 0.000 0.500
Lu 0.250 0.250 0.750
Pu 0.250 0.250 0.250

mass density = 9.4 g/cm³
E_form = 74 kJ/mol of formula units
magnetization = 0.6 Bohr magnetons per cell

(10)
Density functional theory data (PBE) for an optimized crystal structure of LaSmGdLu.

Cell: 8.124 8.124 8.124 Å, 90.00 90.00 90.00°
Space group F-43m (No. 216)
Inequivalent atoms, fractional coordinates:
La 0.000 0.000 0.000
Sm 0.000 0.000 0.500
Gd 0.250 0.250 0.250
Lu 0.250 0.250 0.750

mass density = 7.7 g/cm³
E_form = 37 kJ/mol of formula units
magnetization = 31.3 Bohr magnetons per cell

(11)
Density functional theory data (PBE) for an optimized crystal structure of LaGdLuTl.

Cell: 7.855 7.855 7.855 Å, 90.00 90.00 90.00°
Space group F-43m (No. 216)
Inequivalent atoms, fractional coordinates:
La 0.000 0.000 0.000
Gd 0.000 0.000 0.500
Lu 0.250 0.250 0.750
Tl 0.250 0.250 0.250

mass density = 9.3 g/cm³
E_form = -39 kJ/mol of formula units
magnetization = 33.1 Bohr magnetons per cell

(12)
Density functional theory data (PBE) for an optimized crystal structure of LaGdTmLu.

Cell: 8.051 8.051 8.051 Å, 90.00 90.00 90.00°
Space group F-43m (No. 216)
Inequivalent atoms, fractional coordinates:
La 0.000 0.000 0.000
Gd 0.000 0.000 0.500
Tm 0.250 0.250 0.250
Lu 0.250 0.250 0.750

mass density = 8.1 g/cm³
E_form = 30 kJ/mol of formula units
magnetization = 29.6 Bohr magnetons per cell

(13)
Density functional theory data (PBE) for an optimized crystal structure of LaGdMg2.

Cell: 3.881 3.881 7.844 Å, 90.00 90.00 90.00°
Space group P4/mmm (No. 123)
Inequivalent atoms, fractional coordinates:
La 0.000 0.000 0.000
Gd 0.000 0.000 0.500
Mg 0.500 0.500 0.264

mass density = 4.8 g/cm³
E_form = -40 kJ/mol of formula units
magnetization = 7.5 Bohr magnetons per cell

(14)
Density functional theory data (PBE) for an optimized crystal structure of LaGdMg2.

Cell: 7.784 7.784 7.784 Å, 90.00 90.00 90.00°
Space group Fm-3m (No. 225)
Inequivalent atoms, fractional coordinates:
La 0.000 0.000 0.000
Gd 0.000 0.000 0.500
Mg 0.250 0.250 0.250

mass density = 4.9 g/cm³
E_form = -42 kJ/mol of formula units
magnetization = 30.8 Bohr magnetons per cell

(15)
Density functional theory data (PBE) for an optimized crystal structure of LaNdGdMg.

Cell: 8.016 8.016 8.016 Å, 90.00 90.00 90.00°
Space group F-43m (No. 216)
Inequivalent atoms, fractional coordinates:
La 0.000 0.000 0.000
Nd 0.000 0.000 0.500
Gd 0.250 0.250 0.750
Mg 0.250 0.250 0.250

mass density = 6.0 g/cm³
E_form = 6 kJ/mol of formula units
magnetization = 30.4 Bohr magnetons per cell

(16)
Density functional theory data (PBE) for an optimized crystal structure of LaGdMgNi.

Cell: 7.372 7.372 7.372 Å, 90.00 90.00 90.00°
Space group F-43m (No. 216)
Inequivalent atoms, fractional coordinates:
La 0.000 0.000 0.000
Gd 0.000 0.000 0.500
Mg 0.250 0.250 0.750
Ni 0.250 0.250 0.250

mass density = 6.3 g/cm³
E_form = -23 kJ/mol of formula units
magnetization = 28.9 Bohr magnetons per cell

(17)
Density functional theory data (PBE) for an optimized crystal structure of LaGdMgPd.

Cell: 7.477 7.477 7.477 Å, 90.00 90.00 90.00°
Space group F-43m (No. 216)
Inequivalent atoms, fractional coordinates:
La 0.000 0.000 0.000
Gd 0.000 0.000 0.500
Mg 0.250 0.250 0.250
Pd 0.250 0.250 0.750

mass density = 6.8 g/cm³
E_form = -135 kJ/mol of formula units
magnetization = 29.1 Bohr magnetons per cell

(18)
Density functional theory data (PBE) for an optimized crystal structure of LaPmGdMg.

Cell: 8.010 8.010 8.010 Å, 90.00 90.00 90.00°
Space group F-43m (No. 216)
Inequivalent atoms, fractional coordinates:
La 0.000 0.000 0.000
Pm 0.250 0.250 0.750
Gd 0.000 0.000 0.500
Mg 0.250 0.250 0.250

mass density = 6.0 g/cm³
E_form = 17 kJ/mol of formula units
magnetization = 31.7 Bohr magnetons per cell

(19)
Density functional theory data (PBE) for an optimized crystal structure of LaGdMgSn.

Cell: 7.710 7.710 7.710 Å, 90.00 90.00 90.00°
Space group F-43m (No. 216)
Inequivalent atoms, fractional coordinates:
La 0.000 0.000 0.000
Gd 0.000 0.000 0.500
Mg 0.250 0.250 0.250
Sn 0.250 0.250 0.750

mass density = 6.4 g/cm³
E_form = -172 kJ/mol of formula units
magnetization = 29.3 Bohr magnetons per cell

(20)
Density functional theory data (PBE) for an optimized crystal structure of SrLaGdMg.

Cell: 8.278 8.278 8.278 Å, 90.00 90.00 90.00°
Space group F-43m (No. 216)
Inequivalent atoms, fractional coordinates:
Sr 0.000 0.000 0.000
La 0.000 0.000 0.500
Gd 0.250 0.250 0.750
Mg 0.250 0.250 0.250

mass density = 4.8 g/cm³
E_form = 50 kJ/mol of formula units
magnetization = 29.2 Bohr magnetons per cell

(21)
Density functional theory data (PBE) for an optimized crystal structure of LaTbGdMg.

Cell: 7.952 7.952 7.952 Å, 90.00 90.00 90.00°
Space group F-43m (No. 216)
Inequivalent atoms, fractional coordinates:
La 0.000 0.000 0.000
Tb 0.250 0.250 0.250
Gd 0.000 0.000 0.500
Mg 0.250 0.250 0.750

mass density = 6.3 g/cm³
E_form = 10 kJ/mol of formula units
magnetization = 31.0 Bohr magnetons per cell

(22)
Density functional theory data (PBE) for an optimized crystal structure of LaGdThMg.

Cell: 7.972 7.972 7.972 Å, 90.00 90.00 90.00°
Space group F-43m (No. 216)
Inequivalent atoms, fractional coordinates:
La 0.000 0.000 0.000
Gd 0.000 0.000 0.500
Th 0.250 0.250 0.750
Mg 0.250 0.250 0.250

mass density = 7.2 g/cm³
E_form = 53 kJ/mol of formula units
magnetization = 32.5 Bohr magnetons per cell

(23)
Density functional theory data (PBE) for an optimized crystal structure of LaGdMgZr.

Cell: 7.710 7.710 7.710 Å, 90.00 90.00 90.00°
Space group F-43m (No. 216)
Inequivalent atoms, fractional coordinates:
La 0.000 0.000 0.000
Gd 0.000 0.000 0.500
Mg 0.250 0.250 0.250
Zr 0.250 0.250 0.750

mass density = 6.0 g/cm³
E_form = 55 kJ/mol of formula units
magnetization = 22.5 Bohr magnetons per cell

(24)
Density functional theory data (PBE) for an optimized crystal structure of LaGd3Mn.

Cell: 5.387 5.387 5.387 Å, 90.00 90.00 90.00°
Space group Pm-3m (No. 221)
Inequivalent atoms, fractional coordinates:
La 0.000 0.000 0.000
Gd 0.000 0.500 0.500
Mn 0.500 0.500 0.500

mass density = 7.1 g/cm³
E_form = 87 kJ/mol of formula units
magnetization = 21.5 Bohr magnetons per cell

(25)
Density functional theory data (PBE) for an optimized crystal structure of LaGdMnZn.

Cell: 7.311 7.311 7.311 Å, 90.00 90.00 90.00°
Space group F-43m (No. 216)
Inequivalent atoms, fractional coordinates:
La 0.000 0.000 0.000
Gd 0.000 0.000 0.500
Mn 0.250 0.250 0.750
Zn 0.250 0.250 0.250

mass density = 7.1 g/cm³
E_form = -10 kJ/mol of formula units
magnetization = 17.3 Bohr magnetons per cell

(26)
Density functional theory data (PBE) for an optimized crystal structure of La2GdN.

Cell: 3.6219 3.6219 29.5856 Å, 90.00 90.00 120.00°
Space group R-3m (No. 166, hexagonal axes)
Inequivalent atoms, fractional coordinates:
La 0.0000 0.0000 0.1183
Gd 0.0000 0.0000 0.0000
N 0.0000 0.0000 0.5000

mass density = 6.7 g/cm³
formation energy (no corrections) = -563.0 meV/atom
magnetization = 22.1 Bohr magnetons per cell

(27)
Density functional theory data (PBE) for an optimized crystal structure of LaGd3N.

Cell: 5.052 5.052 5.052 Å, 90.00 90.00 90.00°
Space group Pm-3m (No. 221)
Inequivalent atoms, fractional coordinates:
La 0.000 0.000 0.000
Gd 0.000 0.500 0.500
N 0.500 0.500 0.500

mass density = 8.0 g/cm³
formation energy (no corrections) = -469.1 meV/atom
magnetization = 22.4 Bohr magnetons per cell

(28)
Density functional theory data (PBE) for an optimized crystal structure of NaLaGd.

Cell: 3.601 3.601 16.503 Å, 90.00 90.00 90.00°
Space group I4mm (No. 107)
Inequivalent atoms, fractional coordinates:
Na 0.000 0.000 0.000
La 0.000 0.000 0.679
Gd 0.000 0.000 0.329

mass density = 5.0 g/cm³
E_form = 36 kJ/mol of formula units
magnetization = 15.4 Bohr magnetons per cell

(29)
Density functional theory data (PBE) for an optimized crystal structure of NaLaGd2.

Cell: 3.5700 3.5700 38.5032 Å, 90.00 90.00 120.00°
Space group R-3m (No. 166, hexagonal axes)
Inequivalent atoms, fractional coordinates:
Na 0.0000 0.0000 0.0000
La 0.0000 0.0000 0.5000
Gd 0.0000 0.0000 0.0912

mass density = 5.6 g/cm³
E_form = 62 kJ/mol of formula units
magnetization = 45.3 Bohr magnetons per cell

(30)
Density functional theory data (PBE) for an optimized crystal structure of NaLaGd2.

Cell: 3.595 3.595 10.716 Å, 90.00 90.00 90.00°
Space group P4/mmm (No. 123)
Inequivalent atoms, fractional coordinates:
Na 0.000 0.000 0.000
La 0.000 0.000 0.500
Gd 0.500 0.500 0.265

mass density = 5.7 g/cm³
E_form = 49 kJ/mol of formula units
magnetization = 15.0 Bohr magnetons per cell

(31)
Density functional theory data (PBE) for an optimized crystal structure of NaLaGd.

Cell: 3.6351 3.6351 9.3336 Å, 90.00 90.00 120.00°
Space group P3m1 (No. 156)
Inequivalent atoms, fractional coordinates:
Na 0.0000 0.0000 0.0000
La 0.3333 0.6667 0.6456
Gd 0.6667 0.3333 0.3407

mass density = 5.0 g/cm³
E_form = 31 kJ/mol of formula units
magnetization = 7.6 Bohr magnetons per cell